[1]
Material: NaZn2HSe2O7
Method: DFT, meta-GGA SCAN
State: single point on PBEsol structure

Properties
**Crystal system**: orthorhombic
**Total moment**: 0.0 Bohr magnetons per cell
**Volume**: 12.90 Å³/atom
**Energy**: -10.445 eV/atom
**Symmetry**: Pnma, No. 62
**D(E_F)**: 0.00 states/eV per atom

Cell lengths 13.2386, 6.0347, 8.3943 Å; angles 90.00, 90.00, 90.00 degrees
Closest atoms and distances in Å follow each position.
Fractional coordinates of all 52 atoms:
1 Na 0.2492 0.2500 0.1259  4 O 2.28-2.32
2 Na 0.2508 0.7500 0.6259  4 O 2.28-2.32
3 Na 0.7492 0.2500 0.3741  4 O 2.28-2.32
4 Na 0.7508 0.7500 0.8741  4 O 2.28-2.32
5 Zn 0.0000 0.0000 0.0000  6 O 2.03-2.14
6 Zn 0.0000 0.5000 0.0000  6 O 2.03-2.14
7 Zn 0.1129 0.7500 0.2864  6 O 2.06-2.17
8 Zn 0.3871 0.2500 0.7864  6 O 2.06-2.17
9 Zn 0.5000 0.0000 0.5000  6 O 2.03-2.14
10 Zn 0.5000 0.5000 0.5000  6 O 2.03-2.14
11 Zn 0.6129 0.7500 0.2136  6 O 2.06-2.17
12 Zn 0.8871 0.2500 0.7136  6 O 2.06-2.17
13 H 0.1598 0.7500 0.9694  1 O 0.98
14 H 0.3402 0.2500 0.4694  1 O 0.98
15 H 0.6598 0.7500 0.5306  1 O 0.98
16 H 0.8402 0.2500 0.0306  1 O 0.98
17 Se 0.0269 0.2500 0.3826  3 O 1.71-1.73
18 Se 0.1685 0.2500 0.7736  3 O 1.72-1.76
19 Se 0.3315 0.7500 0.2736  3 O 1.72-1.76
20 Se 0.4731 0.7500 0.8826  3 O 1.71-1.73
21 Se 0.5269 0.2500 0.1174  3 O 1.71-1.73
22 Se 0.6685 0.2500 0.7264  3 O 1.72-1.76
23 Se 0.8315 0.7500 0.2264  3 O 1.72-1.76
24 Se 0.9731 0.7500 0.6174  3 O 1.71-1.73
25 O 0.0158 0.0274 0.2530  1 Se 1.73
26 O 0.0158 0.4726 0.2530  1 Se 1.73
27 O 0.0896 0.7500 0.5291  1 Se 1.71
28 O 0.0995 0.7500 0.0371  1 H 0.98
29 O 0.1087 0.2500 0.9603  1 Se 1.76
30 O 0.2457 0.5395 0.3013  1 Se 1.72
31 O 0.2457 0.9605 0.3013  1 Se 1.72
32 O 0.2543 0.0395 0.8013  1 Se 1.72
33 O 0.2543 0.4605 0.8013  1 Se 1.72
34 O 0.3913 0.7500 0.4603  1 Se 1.76
35 O 0.4005 0.2500 0.5371  1 H 0.98
36 O 0.4104 0.2500 0.0291  1 Se 1.71
37 O 0.4842 0.5274 0.7530  1 Se 1.73
38 O 0.4842 0.9726 0.7530  1 Se 1.73
39 O 0.5158 0.0274 0.2470  1 Se 1.73
40 O 0.5158 0.4726 0.2470  1 Se 1.73
41 O 0.5896 0.7500 0.9709  1 Se 1.71
42 O 0.5995 0.7500 0.4629  1 H 0.98
43 O 0.6087 0.2500 0.5397  1 Se 1.76
44 O 0.7457 0.5395 0.1987  1 Se 1.72
45 O 0.7457 0.9605 0.1987  1 Se 1.72
46 O 0.7543 0.0395 0.6987  1 Se 1.72
47 O 0.7543 0.4605 0.6987  1 Se 1.72
48 O 0.8913 0.7500 0.0397  1 Se 1.76
49 O 0.9005 0.2500 0.9629  1 H 0.98
50 O 0.9104 0.2500 0.4709  1 Se 1.71
51 O 0.9842 0.5274 0.7470  1 Se 1.73
52 O 0.9842 0.9726 0.7470  1 Se 1.73


[2]
Material: Na2SiH12O9
Method: DFT, meta-GGA SCAN
State: single point on PBEsol structure

Properties
**Crystal system**: monoclinic
**Total moment**: 0.0 Bohr magnetons per cell
**Volume**: 8.34 Å³/atom
**Energy**: -6.277 eV/atom
**Symmetry**: P2_1, No. 4
**D(E_F)**: 0.00 states/eV per atom

Cell lengths 6.2318, 5.8347, 11.2489 Å; angles 90.00, 101.70, 90.00 degrees
Closest atoms and distances in Å follow each position.
Fractional coordinates of all 48 atoms:
1 Na 0.0664 0.0000 0.1124  6 O 2.31-2.48
2 Na 0.4272 0.0233 0.3553  3 O 2.31-2.51
3 Na 0.5728 0.5233 0.6447  3 O 2.31-2.51
4 Na 0.9336 0.5000 0.8876  6 O 2.31-2.48
5 Si 0.2047 0.0447 0.6255  4 O 1.62-1.68
6 Si 0.7953 0.5447 0.3745  4 O 1.62-1.68
7 H 0.0405 0.2398 0.3393  1 O 1.00
8 H 0.0682 0.4915 0.6544  1 O 0.99
9 H 0.0823 0.4900 0.1299  1 O 1.00
10 H 0.1560 0.9219 0.8635  1 O 1.00
11 H 0.1759 0.3795 0.5036  1 O 1.05
12 H 0.1993 0.6066 0.2956  1 O 1.01
13 H 0.2061 0.7475 0.4892  1 O 1.00
14 H 0.3146 0.2232 0.8611  1 O 1.01
15 H 0.3520 0.2841 0.0035  1 O 1.01
16 H 0.4120 0.6056 0.2296  1 O 1.01
17 H 0.4583 0.5411 0.8825  1 O 1.02
18 H 0.4634 0.7930 0.8193  1 O 1.02
19 H 0.5366 0.2930 0.1807  1 O 1.02
20 H 0.5417 0.0411 0.1175  1 O 1.02
21 H 0.5880 0.1056 0.7704  1 O 1.01
22 H 0.6480 0.7841 0.9965  1 O 1.01
23 H 0.6854 0.7232 0.1389  1 O 1.01
24 H 0.7939 0.2475 0.5108  1 O 1.00
25 H 0.8007 0.1066 0.7044  1 O 1.01
26 H 0.8241 0.8795 0.4964  1 O 1.05
27 H 0.8440 0.4219 0.1365  1 O 1.00
28 H 0.9177 0.9900 0.8701  1 O 1.00
29 H 0.9318 0.9915 0.3456  1 O 0.99
30 H 0.9595 0.7398 0.6607  1 O 1.00
31 O 0.0420 0.8919 0.9121  2 H 1.00
32 O 0.0486 0.0750 0.3156  2 H 0.99-1.00
33 O 0.0614 0.5106 0.3975  1 H 1.47, 1 Si 1.64
34 O 0.2585 0.3087 0.5856  1 H 1.05
35 O 0.2612 0.6719 0.2264  2 H 1.01
36 O 0.3049 0.3524 0.9202  2 H 1.01
37 O 0.3110 0.8493 0.5444  1 H 1.00
38 O 0.3312 0.0180 0.7658  4 H 1.60-1.79, 1 Si 1.62
39 O 0.4402 0.1592 0.1451  2 H 1.02
40 O 0.5598 0.6592 0.8549  2 H 1.02
41 O 0.6688 0.5180 0.2342  4 H 1.60-1.79, 1 Si 1.62
42 O 0.6890 0.3493 0.4556  1 H 1.00
43 O 0.6951 0.8524 0.0798  2 H 1.01
44 O 0.7388 0.1719 0.7736  2 H 1.01
45 O 0.7415 0.8087 0.4144  1 H 1.05
46 O 0.9386 0.0106 0.6025  1 H 1.47, 1 Si 1.64
47 O 0.9514 0.5750 0.6844  2 H 0.99-1.00
48 O 0.9580 0.3919 0.0879  2 H 1.00


[3]
Material: Na3SiH3O5
Method: DFT, meta-GGA SCAN
State: single point on PBEsol structure

Properties
**Crystal system**: monoclinic
**Total moment**: 0.0 Bohr magnetons per cell
**Volume**: 10.41 Å³/atom
**Energy**: -7.277 eV/atom
**Symmetry**: P2_1/c, No. 14
**D(E_F)**: 0.00 states/eV per atom

Cell lengths 7.8012, 5.9462, 11.1532 Å; angles 90.00, 105.05, 90.00 degrees
Closest atoms and distances in Å follow each position.
Fractional coordinates of all 48 atoms:
1 Na 0.0193 0.2422 0.0626  5 O 2.30-2.45, 1 H 2.53
2 Na 0.0193 0.2578 0.5626  5 O 2.30-2.45, 1 H 2.53
3 Na 0.2445 0.0193 0.8328  1 H 2.30, 5 O 2.30-2.52
4 Na 0.2445 0.4807 0.3328  1 H 2.30, 5 O 2.30-2.52
5 Na 0.3996 0.1910 0.5655  1 H 2.26, 4 O 2.28-2.41
6 Na 0.3996 0.3090 0.0655  1 H 2.26, 4 O 2.28-2.41
7 Na 0.6004 0.6910 0.9345  1 H 2.26, 4 O 2.28-2.41
8 Na 0.6004 0.8090 0.4345  1 H 2.26, 4 O 2.28-2.41
9 Na 0.7555 0.5193 0.6672  1 H 2.30, 5 O 2.30-2.52
10 Na 0.7555 0.9807 0.1672  1 H 2.30, 5 O 2.30-2.52
11 Na 0.9807 0.7422 0.4374  5 O 2.30-2.45, 1 H 2.53
12 Na 0.9807 0.7578 0.9374  5 O 2.30-2.45, 1 H 2.53
13 Si 0.3107 0.7079 0.6363  4 O 1.62-1.69
14 Si 0.3107 0.7921 0.1363  4 O 1.62-1.69
15 Si 0.6893 0.2079 0.8637  4 O 1.62-1.69
16 Si 0.6893 0.2921 0.3637  4 O 1.62-1.69
17 H 0.0202 0.6150 0.1722  1 O 1.02
18 H 0.0202 0.8850 0.6722  1 O 1.02
19 H 0.1585 0.0225 0.2845  1 O 1.02
20 H 0.1585 0.4775 0.7845  1 O 1.02
21 H 0.4217 0.0817 0.3280  1 O 1.06
22 H 0.4217 0.4183 0.8280  1 O 1.06
23 H 0.5783 0.5817 0.1720  1 O 1.06
24 H 0.5783 0.9183 0.6720  1 O 1.06
25 H 0.8415 0.5225 0.2155  1 O 1.02
26 H 0.8415 0.9775 0.7155  1 O 1.02
27 H 0.9798 0.1150 0.3278  1 O 1.02
28 H 0.9798 0.3850 0.8278  1 O 1.02
29 O 0.0681 0.1489 0.2769  2 H 1.02
30 O 0.0681 0.3511 0.7769  2 H 1.02
31 O 0.1860 0.5652 0.1111  1 H 1.64, 1 Si 1.64
32 O 0.1860 0.9348 0.6111  1 H 1.64, 1 Si 1.64
33 O 0.2329 0.5116 0.5363  1 Si 1.62
34 O 0.2329 0.9884 0.0363  1 Si 1.62
35 O 0.3345 0.6309 0.7819  1 H 1.46
36 O 0.3345 0.8691 0.2819  1 H 1.46
37 O 0.4861 0.2219 0.3796  1 H 1.06
38 O 0.4861 0.2781 0.8796  1 H 1.06
39 O 0.5139 0.7219 0.1204  1 H 1.06
40 O 0.5139 0.7781 0.6204  1 H 1.06
41 O 0.6655 0.1309 0.7181  1 H 1.46
42 O 0.6655 0.3691 0.2181  1 H 1.46
43 O 0.7671 0.0116 0.9637  1 Si 1.62
44 O 0.7671 0.4884 0.4637  1 Si 1.62
45 O 0.8140 0.0652 0.3889  1 H 1.64, 1 Si 1.64
46 O 0.8140 0.4348 0.8889  1 H 1.64, 1 Si 1.64
47 O 0.9319 0.6489 0.2231  2 H 1.02
48 O 0.9319 0.8511 0.7231  2 H 1.02